1.
Entry from the Alexandria database: a geometry-optimized SiPb5Se2S4 structure (PBE).

a = 6.5776 Å, b = 6.9805 Å, c = 9.1733 Å
α = 90.00°, β = 90.00°, γ = 118.11°
With the nearest neighbours (Å) after each atom.
Sites, in units of the cell vectors:
Pb 0.6217 0.5535 0.7591  2 S 2.88-3.13, 1 Se 2.97
Pb 0.0682 0.4465 0.2409  2 S 2.88-3.13, 1 Se 2.97
Pb 0.6217 0.5535 0.2409  2 S 2.88-3.13, 1 Se 2.97
Pb 0.0682 0.4465 0.7591  2 S 2.88-3.13, 1 Se 2.97
Pb 0.4883 0.0000 0.5000  2 Se 2.81, 2 S 3.00
S 0.6291 0.0000 0.1893  1 Si 2.14
S 0.0975 0.7236 0.0000  1 Si 2.16
S 0.6291 0.0000 0.8107  1 Si 2.14
S 0.3739 0.2764 0.0000  1 Si 2.16
Si 0.4379 0.0000 0.0000  4 S 2.14-2.16
Se 0.0245 0.6787 0.5000  3 Pb 2.81-2.97
Se 0.3457 0.3213 0.5000  3 Pb 2.81-2.97

Calculated values
N(E_F): 2.49 states/eV/f.u.
SG: Amm2 (38)
Crystal system: orthorhombic
ΔE_f (raw): -392 meV per atom

2.
Entry from the Alexandria database: a geometry-optimized VPd6Pt3 structure (PBE).

a = 3.9401 Å, b = 8.7543 Å, c = 8.8139 Å
α = 90.91°, β = 90.00°, γ = 90.00°
With the nearest neighbours (Å) after each atom.
Sites, in units of the cell vectors:
Pt 0.2500 0.5503 0.4008  8 Pd 2.75-2.94, 4 Pt 2.77-2.79
Pt 0.2500 0.3488 0.7939  4 Pt 2.77-2.79, 8 Pd 2.77-2.89
Pt 0.2500 0.7506 0.0062  10 Pd 2.77-2.91, 2 Pt 2.79
Pt 0.7500 0.4497 0.5992  8 Pd 2.75-2.94, 4 Pt 2.77-2.79
Pt 0.7500 0.2494 0.9938  10 Pd 2.77-2.91, 2 Pt 2.79
Pt 0.7500 0.6512 0.2061  4 Pt 2.77-2.79, 8 Pd 2.77-2.89
V 0.2500 0.9404 0.6185  10 Pd 2.58-2.77
V 0.7500 0.0596 0.3815  10 Pd 2.58-2.77
Pd 0.2500 0.6578 0.6962  1 V 2.58, 6 Pd 2.74-2.83, 5 Pt 2.75-2.85
Pd 0.2500 0.4472 0.0992  7 Pt 2.77-2.81, 5 Pd 2.79-2.83
Pd 0.7500 0.7696 0.5029  3 V 2.67-2.77, 5 Pd 2.68-2.79, 4 Pt 2.80-2.94
Pd 0.7500 0.9498 0.1060  1 V 2.60, 7 Pd 2.75-2.86, 4 Pt 2.77-2.82
Pd 0.2500 0.0502 0.8940  1 V 2.60, 7 Pd 2.75-2.86, 4 Pt 2.77-2.82
Pd 0.7500 0.3422 0.3038  1 V 2.58, 6 Pd 2.74-2.83, 5 Pt 2.75-2.85
Pd 0.2500 0.8659 0.3179  3 V 2.65-2.72, 5 Pd 2.68-2.82, 4 Pt 2.87-2.91
Pd 0.7500 0.5528 0.9008  7 Pt 2.77-2.81, 5 Pd 2.79-2.83
Pd 0.7500 0.8525 0.7973  2 V 2.64, 8 Pd 2.68-2.84, 2 Pt 2.85
Pd 0.7500 0.1341 0.6821  3 V 2.65-2.72, 5 Pd 2.68-2.82, 4 Pt 2.87-2.91
Pd 0.2500 0.2304 0.4971  3 V 2.67-2.77, 5 Pd 2.68-2.79, 4 Pt 2.80-2.94
Pd 0.2500 0.1475 0.2027  2 V 2.64, 8 Pd 2.68-2.84, 2 Pt 2.85

Calculated values
N(E_F): 12.82 states/eV/f.u.
SG: P2_1/m (11)
ΔE_f: -132 meV/atom
Crystal system: monoclinic
Relative energy among the computed polymorphs: 0.000 eV per atom

3.
Entry from the Alexandria database: a geometry-optimized SrTcBr2 structure (PBE).

a = 7.1194 Å, b = 7.1194 Å, c = 5.3484 Å
α = 90.93°, β = 90.93°, γ = 32.45°
With the nearest neighbours (Å) after each atom.
Sites, in units of the cell vectors:
Sr 0.7500 0.7500 0.7500  4 Br 3.16, 4 Tc 3.33
Tc 0.2500 0.2500 0.2500  2 Br 2.49
Br 0.0976 0.0976 0.9878  1 Tc 2.49
Br 0.4024 0.4024 0.5122  1 Tc 2.49

Calculated values
N(E_F): 1.68 states/eV/f.u.
SG: C2/m (12)
Crystal system: monoclinic
ΔE_f (raw): -308 meV per atom
Relative energy among the computed polymorphs: 0.042 eV per atom

4.
Entry from the Alexandria database: a geometry-optimized DyPaAs2 structure (PBE).

a = 4.1829 Å, b = 4.1829 Å, c = 8.8706 Å
α = 76.36°, β = 76.36°, γ = 60.00°
With the nearest neighbours (Å) after each atom.
Sites, in units of the cell vectors:
As 0.8915 0.8915 0.3255  1 Dy 2.78, 3 Pa 2.84
As 0.1085 0.1085 0.6745  1 Dy 2.78, 3 Pa 2.84
Pa 0.5000 0.5000 0.5000  6 As 2.84
Dy 0.0000 0.0000 0.0000  2 As 2.78

Calculated values
N(E_F): 3.70 states/eV/f.u.
SG: R-3m (166)
ΔE_f: -466 meV/atom
Crystal system: trigonal
Relative energy among the computed polymorphs: 0.816 eV per atom

5.
Entry from the Alexandria database: a geometry-optimized TiZn2Pt2 structure (PBE).

a = 2.7792 Å, b = 3.9137 Å, c = 7.1900 Å
α = 74.21°, β = 90.00°, γ = 90.00°
With the nearest neighbours (Å) after each atom.
Sites, in units of the cell vectors:
Ti 0.0000 0.0000 0.0000  2 Zn 2.70, 2 Ti 2.78, 8 Pt 2.81
Pt 0.5000 0.3948 0.2105  4 Zn 2.70, 3 Pt 2.78-2.91, 4 Ti 2.81
Pt 0.5000 0.6052 0.7895  4 Zn 2.70, 3 Pt 2.78-2.91, 4 Ti 2.81
Zn 0.0000 0.1954 0.6093  2 Zn 2.47, 1 Ti 2.70, 4 Pt 2.70
Zn 0.0000 0.8046 0.3907  2 Zn 2.47, 1 Ti 2.70, 4 Pt 2.70

Calculated values
N(E_F): 2.51 states/eV/f.u.
SG: Cmmm (65)
ΔE_f: -612 meV/atom
Crystal system: orthorhombic
Relative energy among the computed polymorphs: 0.012 eV per atom

6.
Entry from the Alexandria database: a geometry-optimized LiLaPmSe3 structure (PBE).

a = 4.1036 Å, b = 8.6714 Å, c = 8.9964 Å
α = 102.65°, β = 90.00°, γ = 90.00°
With the nearest neighbours (Å) after each atom.
Sites, in units of the cell vectors:
Se 0.7500 0.4253 0.1769  3 Pm 2.93-2.98, 2 La 3.03
Se 0.2500 0.7874 0.5022  3 Li 2.53-2.54
Se 0.2500 0.0950 0.8675  1 Li 2.52
Se 0.7500 0.2126 0.4978  3 Li 2.53-2.54
Se 0.2500 0.5747 0.8231  3 Pm 2.93-2.98, 2 La 3.03
Se 0.7500 0.9050 0.1325  1 Li 2.52
Pm 0.7500 0.3370 0.8374  6 Se 2.93-3.01
Pm 0.2500 0.6630 0.1626  6 Se 2.93-3.01
Li 0.2500 0.0867 0.5853  4 Se 2.52-2.54, 2 Li 2.80
Li 0.7500 0.9133 0.4147  4 Se 2.52-2.54, 2 Li 2.80
La 0.2500 0.1829 0.2231  7 Se 3.03-3.18
La 0.7500 0.8171 0.7769  7 Se 3.03-3.18

Calculated values
N(E_F): 2.36 states/eV/f.u.
SG: P2_1/m (11)
Crystal system: monoclinic
ΔE_f (raw): -1748 meV per atom